Record 1
First-principles (GGA-PBE) data for a relaxed structure of CoTcN, as listed in the Alexandria database.

- energy relative to the elements, uncorrected (eV per atom) = 0.1861

```
CoTcN
1.0
3.8106 -1.3775 0.0000
3.8106 1.3775 0.0000
-0.9007 0.0000 5.9290
Co Tc N
2 2 2
direct
0.1229 0.1229 0.4013
0.8771 0.8771 0.5987
0.3698 0.3698 0.1557
0.6302 0.6302 0.8443
0.3428 0.3428 0.8036
0.6572 0.6572 0.1964
```

=====

Record 2
First-principles (GGA-PBE) data for a relaxed structure of KRe2Pb, as listed in the Alexandria database.

- formation enthalpy at 0 K (eV/atom) = 1.513

```
KRe2Pb
1.0
-2.4018 2.4018 9.9923
2.4018 -2.4018 9.9923
2.4018 2.4018 -9.9923
K Re Pb
2 4 2
direct
0.0000 0.0000 0.0000
0.7500 0.2500 0.5000
0.3370 0.6250 0.2120
0.3750 0.5870 0.7120
0.4130 0.1250 0.7880
0.8750 0.6630 0.2880
0.2500 0.7500 0.5000
0.5000 0.5000 0.0000
```

=====

Record 3
First-principles (GGA-PBE) data for a relaxed structure of NaRe3H, as listed in the Alexandria database.

- electronic total energy (eV/atom) = -4.40

```
NaRe3H
1.0
4.4966 0.0000 0.0000
0.0000 4.4966 0.0000
0.0000 0.0000 4.4966
Na Re H
1 3 1
direct
0.0000 0.0000 0.0000
0.0000 0.0000 0.5000
0.0000 0.5000 0.0000
0.5000 0.0000 0.0000
0.5000 0.5000 0.5000
```

=====

Record 4
First-principles (GGA-PBE) data for a relaxed structure of LaOs2O8, as listed in the Alexandria database.

- energy relative to the elements, uncorrected (eV per atom) = -1.0802

```
LaOs2O8
1.0
4.8383 0.0000 0.0000
0.0000 4.8383 0.0000
0.0000 0.0000 5.7922
La Os O
1 2 8
direct
0.0000 0.0000 0.0000
0.0000 0.5000 0.5000
0.5000 0.0000 0.5000
0.2514 0.2514 0.3048
0.2514 0.2514 0.6952
0.2514 0.7486 0.3048
0.2514 0.7486 0.6952
0.7486 0.2514 0.3048
0.7486 0.2514 0.6952
0.7486 0.7486 0.3048
0.7486 0.7486 0.6952
```